First-principles (GGA-PBE) data for a geometry-optimized AcReS4 structure, as listed in the Alexandria database.

Lattice parameters (Å, degrees): 4.9424 5.9094 9.8640 90.00 104.51 90.00
With the nearest neighbours (Å) after each atom.
Element x y z (fractional)
Ac 0.8370 0.8500 0.6739  6 S 2.93-3.01
Ac 0.1630 0.3500 0.3261  6 S 2.93-3.01
Re 0.5745 0.7235 0.1490  3 S 2.23-2.35
Re 0.4255 0.2235 0.8510  3 S 2.23-2.35
S 0.9005 0.3014 0.8011  2 Re 2.56
S 0.0995 0.8014 0.1989  2 Re 2.56
S 0.4656 0.8592 0.9312  2 Re 2.23-2.29, 1 S 2.27
S 0.5344 0.3592 0.0688  2 Re 2.23-2.29, 1 S 2.27
S 0.7014 0.6060 0.4029  1 Re 2.52
S 0.2986 0.1060 0.5971  1 Re 2.52
S 0.6205 0.0932 0.2409  1 S 2.27, 1 Re 2.35
S 0.3795 0.5932 0.7591  1 S 2.27, 1 Re 2.35

Computed properties:
For the density of states at the Fermi level, the calculation gives 0.34 states/eV per cell. The calculation puts the formation energy from raw total energies at -0.89 eV/atom. The value obtained for the size of the total moment is 0.0000 μB/atom. As for the space group: Cmc2_1, No. 36. The calculation puts the calculated total energy at -6.398 eV per atom.